## Fe4O7F (PBE with a Hubbard U)

Data for Fe4O7F after structural relaxation.

Energy relative to the lowest polymorph listed for this composition   119 meV/atom
Spin magnetization   13.01 μB per formula unit
Space group   P2_1, No. 4

Cell: 4.5974 5.9453 9.6413 Å, 72.02 90.00 90.00°
Site moments in Bohr magnetons follow the coordinates.
Atoms (fractional coordinates):
Fe  0.9819  0.3214  0.6190  2.82
Fe  0.0262  0.0681  0.1196  4.11
Fe  0.0023  0.5564  0.1319  4.08
Fe  0.9869  0.8108  0.6162  2.79
Fe  0.5262  0.9319  0.8804  4.11
Fe  0.4819  0.6786  0.3810  2.82
Fe  0.5023  0.4436  0.8681  4.08
Fe  0.4869  0.1892  0.3838  2.79
O  0.2955  0.3882  0.4750  -0.28
O  0.2976  0.8877  0.4734  -0.23
O  0.3256  0.1423  0.9662  0.04
O  0.3215  0.6408  0.9679  0.04
O  0.1988  0.2603  0.2280  -0.05
O  0.1782  0.5184  0.7121  -0.23
O  0.1951  0.7634  0.2254  -0.09
O  0.8215  0.3592  0.0321  0.04
O  0.8256  0.8577  0.0338  0.04
O  0.7955  0.6118  0.5250  -0.28
O  0.7976  0.1123  0.5266  -0.23
O  0.6988  0.7397  0.7720  -0.05
O  0.6782  0.4816  0.2879  -0.23
O  0.6951  0.2366  0.7746  -0.09
F  0.1903  0.0164  0.7193  0.01
F  0.6903  0.9836  0.2807  0.01